(one)
The following is a PBE calculation of KSbIO2 after structural relaxation, from the Alexandria database.

Cell lengths 4.3053, 4.3053, 6.2836 Å; angles 90.00, 90.00, 90.00 degrees
Space group P4/mmm (No. 123)
Unique sites:
1 K 0.0000 0.0000 0.0000
2 Sb 0.5000 0.5000 0.5000
3 I 0.5000 0.5000 0.0000
4 O 0.0000 0.5000 0.5000

## Properties
D(E_F) = 0.4 states/eV/cell
total moment = 0.00 Bohr magnetons per cell



(two)
The following is a PBE calculation of KSbIO2 after structural relaxation, from the Alexandria database.

Cell lengths 6.4094, 14.6585, 5.5384 Å; angles 90.00, 90.00, 90.00 degrees
Space group Cmcm (No. 63)
Unique sites:
1 K 0.0000 0.1064 0.2500
2 Sb 0.0000 0.4474 0.2500
3 I 0.0000 0.2718 0.7500
4 O 0.1999 0.5000 0.0000

## Properties
D(E_F) = 6.7 states/eV/cell
total moment = 0.00 Bohr magnetons per cell



What is the most stable structure shown above? It is (two).